This record from OQMD describes a relaxed structure of LaPrZn2Pb2. The functional is GGA-PBE.

Space group   P6_3/mmc
Energy relative to the lowest polymorph listed for this composition   0 meV/atom
Crystal system   hexagonal

Cell and atoms, written as POSCAR:
```
LaPrZn2Pb2
1.0
-4.6311 0.0102 0.8281
2.4861 -3.9504 0.5884
2.8828 4.2080 16.0705
Pb Zn La Pr
4 4 2 2
Direct
0.6667 0.3333 0.1136
0.3333 0.6667 0.6136
0.3333 0.6667 0.8864
0.6667 0.3333 0.3864
0.3333 0.6667 0.1633
0.3333 0.6667 0.3367
0.6667 0.3333 0.6633
0.6667 0.3333 0.8367
0.0000 0.0000 0.5000
0.0000 0.0000 0.0000
0.0000 0.0000 0.7500
0.0000 0.0000 0.2500
```